[1]
This record from Alexandria describes a geometry-optimized Pm12NdTm7 structure. The functional is PBE.

Unit cell a=11.519 b=11.519 c=11.519 alpha=90.00 beta=90.00 gamma=90.00
Space group Im-3 (No. 204)
Unique sites:
Pm (0.000, 0.258, 0.255)
Nd (0.000, 0.000, 0.000)
Tm (0.000, 0.000, 0.500)
Tm (0.250, 0.250, 0.250)

Computed properties:
DOS(E_F) = 28.36 states/eV/f.u.
Energy relative to the lowest polymorph listed for this composition = 0.585 eV per atom
Density = 6665 kg/m³


[2]
This record from Alexandria describes a geometry-optimized Pm6Nd3Tm structure. The functional is PBE.

Unit cell a=11.565 b=6.850 c=9.196 alpha=90.00 beta=107.46 gamma=90.00
Space group C2/m (No. 12)
Unique sites:
Pm (0.124, 0.000, 0.417)
Pm (0.189, 0.260, 0.802)
Nd (0.000, 0.500, 0.500)
Nd (0.074, 0.500, 0.168)
Tm (0.000, 0.000, 0.000)

Computed properties:
DOS(E_F) = 17.51 states/eV/f.u.
Energy relative to the lowest polymorph listed for this composition = 0.081 eV per atom
Density = 7033 kg/m³